Record 1
## AlRu4Pt (GGA-PBEsol)

Data for a relaxed AlRu4Pt crystal.

a = 4.9937 Å, b = 4.9937 Å, c = 4.9937 Å
α = 60.00°, β = 60.00°, γ = 60.00°
Last column: nearest neighbours and their distance in Å.
Atoms (fractional coordinates):
1 Al 0.7500 0.7500 0.7500  12 Ru 2.93, 4 Pt 3.06
2 Ru 0.3746 0.3746 0.8763  6 Ru 2.49-2.51
3 Ru 0.3746 0.8763 0.3746  6 Ru 2.49-2.51
4 Ru 0.8763 0.3746 0.3746  6 Ru 2.49-2.51
5 Ru 0.3746 0.3746 0.3746  6 Ru 2.49-2.51
6 Pt 0.0000 0.0000 0.0000  12 Ru 2.93, 4 Al 3.06

Values from the calculation:
E_tot: -8.213 eV/atom
total magnetic moment: 0.004 μB per formula unit

---

Record 2
## ZnSn2HOs (GGA-PBEsol)

Data for a relaxed ZnSn2HOs crystal.

a = 3.4579 Å, b = 4.6925 Å, c = 4.6925 Å
α = 90.00°, β = 90.00°, γ = 90.00°
Last column: nearest neighbours and their distance in Å.
Atoms (fractional coordinates):
1 H 0.0000 0.0000 0.0000  2 Zn 1.73
2 Sn 0.0000 0.5000 0.0000  2 H 2.35
3 Sn 0.0000 0.0000 0.5000  2 H 2.35
4 Os 0.5000 0.5000 0.5000  8 Sn 2.91
5 Zn 0.5000 0.0000 0.0000  2 H 1.73

Values from the calculation:
E_tot: -4.561 eV/atom
total magnetic moment: 0.000 μB per formula unit

---

Record 3
## LiCa2Mg (GGA-PBEsol)

Data for a relaxed LiCa2Mg crystal.

a = 4.9049 Å, b = 4.9049 Å, c = 6.1402 Å
α = 113.54°, β = 113.54°, γ = 90.00°
Last column: nearest neighbours and their distance in Å.
Atoms (fractional coordinates):
1 Mg 0.2500 0.7500 0.5000  8 Ca 3.47-3.53, 4 Li 3.53
2 Ca 0.0000 0.0000 0.0000  4 Li 3.47, 4 Mg 3.53, 4 Ca 3.53
3 Ca 0.7500 0.2500 0.5000  4 Mg 3.47, 4 Li 3.53, 4 Ca 3.53
4 Li 0.5000 0.5000 0.0000  8 Ca 3.47-3.53, 4 Mg 3.53

Values from the calculation:
E_tot: -1.961 eV/atom
total magnetic moment: 0.000 μB per formula unit

---

Repeat the third record exactly.
## LiCa2Mg (GGA-PBEsol)

Data for a relaxed LiCa2Mg crystal.

a = 4.9049 Å, b = 4.9049 Å, c = 6.1402 Å
α = 113.54°, β = 113.54°, γ = 90.00°
Last column: nearest neighbours and their distance in Å.
Atoms (fractional coordinates):
1 Mg 0.2500 0.7500 0.5000  8 Ca 3.47-3.53, 4 Li 3.53
2 Ca 0.0000 0.0000 0.0000  4 Li 3.47, 4 Mg 3.53, 4 Ca 3.53
3 Ca 0.7500 0.2500 0.5000  4 Mg 3.47, 4 Li 3.53, 4 Ca 3.53
4 Li 0.5000 0.5000 0.0000  8 Ca 3.47-3.53, 4 Mg 3.53

Values from the calculation:
E_tot: -1.961 eV/atom
total magnetic moment: 0.000 μB per formula unit

---

Which value of total magnetic moment does entry 1 give?
0.004 μB per formula unit

---

Which value of total magnetic moment does entry 2 give?
0.000 μB per formula unit

---

Please write out number 3 again, unchanged.
## LiCa2Mg (GGA-PBEsol)

Data for a relaxed LiCa2Mg crystal.

a = 4.9049 Å, b = 4.9049 Å, c = 6.1402 Å
α = 113.54°, β = 113.54°, γ = 90.00°
Last column: nearest neighbours and their distance in Å.
Atoms (fractional coordinates):
1 Mg 0.2500 0.7500 0.5000  8 Ca 3.47-3.53, 4 Li 3.53
2 Ca 0.0000 0.0000 0.0000  4 Li 3.47, 4 Mg 3.53, 4 Ca 3.53
3 Ca 0.7500 0.2500 0.5000  4 Mg 3.47, 4 Li 3.53, 4 Ca 3.53
4 Li 0.5000 0.5000 0.0000  8 Ca 3.47-3.53, 4 Mg 3.53

Values from the calculation:
E_tot: -1.961 eV/atom
total magnetic moment: 0.000 μB per formula unit